A plane-wave DFT calculation with PBE-GGA was carried out for a relaxed Ho3ErCd crystal.

Results
energy relative to the lowest polymorph listed for this composition: 0 meV per atom
crystal system: monoclinic
space-group type: C2/m

POSCAR file:
```
Ho3ErCd
1.0
3.615 0.000 0.000
1.807 6.388 0.526
-0.001 -0.111 12.571
Cd Ho Er
2 6 2
Direct
0.439 0.123 0.373
0.561 0.877 0.627
0.854 0.292 0.556
0.965 0.070 0.810
0.146 0.708 0.444
0.634 0.731 0.979
0.366 0.269 0.021
0.035 0.930 0.190
0.767 0.465 0.244
0.233 0.535 0.756
```



A plane-wave DFT calculation with PBE-GGA was carried out for a relaxed Ho8Er2Cd crystal.

Results
energy relative to the lowest polymorph listed for this composition: 0 meV per atom
crystal system: monoclinic
space-group type: C2/m

POSCAR file:
```
Ho8Er2Cd
1.0
5.511 0.000 0.000
0.000 6.207 1.296
-2.755 -1.141 9.508
Ho Er Cd
8 2 1
Direct
0.045 0.736 0.090
0.955 0.264 0.910
0.845 0.803 0.691
0.339 0.123 0.679
0.421 0.598 0.842
0.155 0.197 0.309
0.661 0.877 0.321
0.579 0.402 0.158
0.243 0.666 0.485
0.757 0.334 0.515
0.500 0.000 0.000
```



A plane-wave DFT calculation with PBE-GGA was carried out for a relaxed Ho2ErCd3 crystal.

Results
crystal system: trigonal
raw total energy: -0.2251 Ry per atom
space-group type: P-3m1

POSCAR file:
```
Ho2ErCd3
1.0
-0.849 2.782 -4.380
-2.731 -4.404 0.888
-4.539 3.431 3.059
Cd Er Ho
3 1 2
Direct
0.667 0.333 0.833
0.333 0.667 0.167
0.000 0.000 0.500
0.000 0.000 0.000
0.333 0.667 0.668
0.667 0.333 0.332
```



A plane-wave DFT calculation with PBE-GGA was carried out for a relaxed Ho2ErCd2 crystal.

Results
energy relative to the lowest polymorph listed for this composition: 101 meV per atom
crystal system: orthorhombic
space-group type: Immm

POSCAR file:
```
Ho2ErCd2
1.0
4.973 0.000 0.000
2.486 5.316 -0.216
2.486 1.215 5.179
Ho Cd Er
2 2 1
Direct
0.802 0.698 0.698
0.198 0.302 0.302
0.500 0.289 0.711
0.500 0.711 0.289
0.000 0.000 0.000
```



A plane-wave DFT calculation with PBE-GGA was carried out for a relaxed Ho4Er3Cd2 crystal.

Results
crystal system: monoclinic
raw total energy: -0.2818 Ry per atom
space-group type: C2/m

POSCAR file:
```
Ho4Er3Cd2
1.0
4.836 0.000 0.000
0.000 7.685 0.634
-2.418 -2.875 6.670
Ho Cd Er
4 2 3
Direct
0.556 0.334 0.112
0.444 0.666 0.888
0.221 0.322 0.442
0.779 0.678 0.558
0.334 0.002 0.668
0.666 0.998 0.332
0.000 0.000 0.000
0.886 0.327 0.773
0.114 0.673 0.227
```



A plane-wave DFT calculation with PBE-GGA was carried out for a relaxed Ho2Er2Cd crystal.

Results
energy relative to the lowest polymorph listed for this composition: 175 meV per atom
crystal system: tetragonal
space-group type: I4_1/amd

POSCAR file:
```
Ho2Er2Cd
1.0
-4.932 -0.764 -0.597
0.912 -2.606 -4.200
2.821 -8.766 9.061
Ho Er Cd
4 4 2
Direct
0.077 0.577 0.155
0.327 0.327 0.655
0.423 0.923 0.845
0.673 0.673 0.345
0.823 0.823 0.647
0.177 0.177 0.353
0.927 0.427 0.853
0.573 0.073 0.147
0.500 0.500 0.000
0.250 0.750 0.500
```



A plane-wave DFT calculation with PBE-GGA was carried out for a relaxed Ho3Er2Cd2 crystal.

Results
energy relative to the lowest polymorph listed for this composition: 0 meV per atom
crystal system: trigonal
space-group type: R-3m

POSCAR file:
```
Ho3Er2Cd2
1.0
-1.929 -4.438 2.237
5.136 0.251 -1.425
-0.929 4.106 7.345
Er Ho Cd
2 3 2
Direct
0.926 0.852 0.278
0.074 0.148 0.722
0.656 0.312 0.469
0.344 0.688 0.531
0.500 0.000 0.000
0.212 0.423 0.135
0.788 0.577 0.865
```



A plane-wave DFT calculation with PBE-GGA was carried out for a relaxed Ho4Er4Cd crystal.

Results
crystal system: tetragonal
raw total energy: -0.3068 Ry per atom
space-group type: I4/mmm

POSCAR file:
```
Ho4Er4Cd
1.0
4.927 0.000 0.000
2.463 7.355 0.000
2.463 0.000 7.355
Er Ho Cd
4 4 1
Direct
0.000 0.667 0.333
0.667 0.333 0.333
0.000 0.333 0.667
0.333 0.667 0.667
0.335 0.000 0.330
0.665 0.670 0.000
0.335 0.330 0.000
0.665 0.000 0.670
0.000 0.000 0.000
```